Entry 1:
{"formula": "AlRuBr2", "functional": "PBE-GGA", "state": "optimized geometry", "crystal_system": "orthorhombic", "formation_energy_uncorrected_ev_per_atom": 0.1428, "polymorph_energy_ev_per_atom": 0.3505, "lattice": [[-4.155, -3.048, 3.964], [-1.006, -4.980, -4.056], [3.634, 3.288, 4.272]], "species": ["Br", "Br", "Ru", "Al"], "fractional_positions": [[0.069, 0.069, 0.000], [0.678, 0.178, 0.500], [0.481, 0.481, 0.000], [0.272, 0.772, 0.500]]}

---

Entry 2:
{"formula": "HPbS", "functional": "PBE-GGA", "state": "optimized geometry", "crystal_system": "monoclinic", "dft_energy_ev_per_atom": -3.95, "lattice": [[-0.510, 1.265, 3.720], [-0.537, -3.826, -0.882], [11.453, -2.628, 2.463]], "species": ["Pb", "Pb", "S", "S", "H", "H"], "fractional_positions": [[0.841, 0.681, 0.360], [0.159, 0.319, 0.640], [0.817, 0.635, 0.759], [0.183, 0.365, 0.241], [0.544, 0.087, 0.980], [0.456, 0.913, 0.020]]}

---

no.,density (g/cm³)
1,3.87
2,4.89